# 1
The following is a PBE calculation of an optimized crystal structure of Ac2CuPd4, from Alexandria.

- D(E_F): 4.16 states/eV/cell

abc: 4.8072 4.8072 8.4586
angles: 109.84 109.84 78.80
With the nearest neighbours (Å) after each atom.
Fractional positions:
Ac (0.6393, 0.6393, 0.2786)  7 Pd 3.01-3.20
Ac (0.3607, 0.3607, 0.7214)  7 Pd 3.01-3.20
Pd (0.8374, 0.8374, 0.6748)  1 Cu 2.47
Pd (0.1626, 0.1626, 0.3252)  1 Cu 2.47
Pd (0.0000, 0.5000, 0.0000)  2 Cu 2.40
Pd (0.5000, 0.0000, 0.0000)  2 Cu 2.40
Cu (0.0000, 0.0000, 0.0000)  6 Pd 2.40-2.47

# 2
The following is a PBE calculation of an optimized crystal structure of Ac2CuPd, from Alexandria.

- D(E_F): 3.86 states/eV/cell

abc: 4.7452 4.1695 6.1373
angles: 109.86 90.00 90.00
With the nearest neighbours (Å) after each atom.
Fractional positions:
Ac (0.0000, 0.9882, 0.9764)  3 Cu 3.19-3.35, 4 Pd 3.24
Ac (0.5000, 0.2614, 0.5229)  3 Pd 3.19-3.35, 4 Cu 3.24
Cu (0.0000, 0.6977, 0.3953)  2 Pd 2.91, 6 Ac 3.19-3.24
Pd (0.5000, 0.5520, 0.1039)  2 Cu 2.91, 6 Ac 3.19-3.24

# 3
The following is a PBE calculation of an optimized crystal structure of Ac4Cu2Pd5, from Alexandria.

- D(E_F): 4.53 states/eV/cell

abc: 4.1810 7.5016 8.5983
angles: 89.71 90.00 90.00
With the nearest neighbours (Å) after each atom.
Fractional positions:
Ac (0.5000, 0.7347, 0.6263)  6 Pd 3.13-3.43, 4 Cu 3.31
Ac (0.5000, 0.2356, 0.8754)  6 Pd 3.08-3.15, 2 Cu 3.24
Ac (0.5000, 0.2653, 0.3737)  6 Pd 3.13-3.43, 4 Cu 3.31
Ac (0.5000, 0.7644, 0.1246)  6 Pd 3.08-3.15, 2 Cu 3.24
Cu (0.0000, 0.0776, 0.6240)  1 Cu 2.43, 2 Pd 2.62-2.64
Cu (0.0000, 0.9224, 0.3760)  1 Cu 2.43, 2 Pd 2.62-2.64
Pd (0.0000, 0.5733, 0.3438)  1 Cu 2.64, 1 Pd 2.90
Pd (0.0000, 0.1297, 0.1294)  1 Cu 2.62
Pd (0.0000, 0.5000, 0.0000)  4 Pd 2.99-3.01, 4 Ac 3.08
Pd (0.0000, 0.8703, 0.8706)  1 Cu 2.62
Pd (0.0000, 0.4267, 0.6562)  1 Cu 2.64, 1 Pd 2.90

# 4
The following is a PBE calculation of an optimized crystal structure of AcCuPd2, from Alexandria.

- D(E_F): 1.13 states/eV/cell

abc: 3.6442 3.6442 6.1774
angles: 90.00 90.00 90.00
With the nearest neighbours (Å) after each atom.
Fractional positions:
Ac (0.5000, 0.5000, 0.0000)  2 Cu 3.09, 8 Pd 3.12
Cu (0.5000, 0.5000, 0.5000)  8 Pd 2.90, 2 Ac 3.09
Pd (0.0000, 0.0000, 0.7151)  1 Pd 2.66, 4 Cu 2.90
Pd (0.0000, 0.0000, 0.2849)  1 Pd 2.66, 4 Cu 2.90

# 5
The following is a PBE calculation of an optimized crystal structure of Ac2CuPd, from Alexandria.

- D(E_F): 4.59 states/eV/cell

abc: 3.8481 3.8481 10.1430
angles: 79.07 79.07 60.00
With the nearest neighbours (Å) after each atom.
Fractional positions:
Ac (0.0939, 0.0939, 0.7183)  1 Pd 2.79, 3 Cu 3.10
Ac (0.9061, 0.9061, 0.2817)  1 Pd 2.79, 3 Cu 3.10
Cu (0.5000, 0.5000, 0.5000)  6 Ac 3.10
Pd (0.0000, 0.0000, 0.0000)  2 Ac 2.79

# 6
The following is a PBE calculation of an optimized crystal structure of AcCuPd, from Alexandria.

- D(E_F): 1.54 states/eV/cell

abc: 4.8281 4.8281 4.8281
angles: 60.00 60.00 60.00
With the nearest neighbours (Å) after each atom.
Fractional positions:
Ac (0.5000, 0.5000, 0.5000)  4 Pd 2.96
Cu (0.0000, 0.0000, 0.0000)  4 Pd 2.96
Pd (0.2500, 0.2500, 0.2500)  4 Cu 2.96, 4 Ac 2.96

# 7
The following is a PBE calculation of an optimized crystal structure of AcCuPd, from Alexandria.

- D(E_F): 1.76 states/eV/cell

abc: 3.6864 3.6864 5.6290
angles: 109.11 109.11 90.00
With the nearest neighbours (Å) after each atom.
Fractional positions:
Ac (0.6151, 0.6151, 0.2302)  5 Cu 3.03-3.26, 5 Pd 3.07-3.23
Pd (0.9231, 0.9231, 0.8462)  4 Cu 2.83, 1 Ac 3.07
Cu (0.3118, 0.3118, 0.6237)  4 Pd 2.83, 1 Ac 3.03

# 8
The following is a PBE calculation of an optimized crystal structure of AcCuPd2, from Alexandria.

- D(E_F): 3.82 states/eV/cell

abc: 4.9125 4.9125 4.9125
angles: 60.00 60.00 60.00
With the nearest neighbours (Å) after each atom.
Fractional positions:
Ac (0.0000, 0.0000, 0.0000)  8 Pd 3.01
Cu (0.5000, 0.5000, 0.5000)  8 Pd 3.01
Pd (0.2500, 0.2500, 0.2500)  4 Ac 3.01, 4 Cu 3.01
Pd (0.7500, 0.7500, 0.7500)  4 Cu 3.01, 4 Ac 3.01

# 9
The following is a PBE calculation of an optimized crystal structure of AcCu2Pd5, from Alexandria.

- D(E_F): 5.76 states/eV/cell

abc: 3.9922 6.4400 6.4400
angles: 69.32 71.94 71.94
With the nearest neighbours (Å) after each atom.
Fractional positions:
Ac (0.0000, 0.0000, 0.0000)  4 Cu 3.15, 8 Pd 3.35
Cu (0.7488, 0.7512, 0.7512)  7 Pd 2.47-2.64
Cu (0.2512, 0.2488, 0.2488)  7 Pd 2.47-2.64
Pd (0.0000, 0.5000, 0.5000)  2 Cu 2.47
Pd (0.6468, 0.5424, 0.1639)  3 Cu 2.49-2.64, 1 Pd 2.77
Pd (0.3532, 0.4576, 0.8361)  3 Cu 2.49-2.64, 1 Pd 2.77
Pd (0.3532, 0.8361, 0.4576)  3 Cu 2.49-2.64, 1 Pd 2.77
Pd (0.6468, 0.1639, 0.5424)  3 Cu 2.49-2.64, 1 Pd 2.77

# 10
The following is a PBE calculation of an optimized crystal structure of AcCuPd2, from Alexandria.

- D(E_F): 1.99 states/eV/cell

abc: 4.2036 4.3849 4.3849
angles: 90.00 90.00 90.00
With the nearest neighbours (Å) after each atom.
Fractional positions:
Ac (0.5000, 0.0000, 0.0000)  8 Pd 3.04, 4 Cu 3.10
Cu (0.5000, 0.5000, 0.5000)  8 Pd 3.04, 4 Ac 3.10
Pd (0.0000, 0.0000, 0.5000)  4 Ac 3.04, 4 Cu 3.04, 4 Pd 3.10
Pd (0.0000, 0.5000, 0.0000)  4 Ac 3.04, 4 Cu 3.04, 4 Pd 3.10

# 11
The following is a PBE calculation of an optimized crystal structure of AcCu4Pd8, from Alexandria.

- D(E_F): 7.86 states/eV/cell

abc: 5.0463 6.8964 6.8964
angles: 82.31 68.54 68.54
With the nearest neighbours (Å) after each atom.
Fractional positions:
Ac (0.0000, 0.0000, 0.0000)  12 Pd 3.18-3.23, 8 Cu 3.45
Cu (0.0000, 0.0000, 0.5000)  2 Cu 2.52, 8 Pd 2.61-2.75
Cu (0.5000, 0.0000, 0.5000)  2 Cu 2.52, 8 Pd 2.61-2.75
Cu (0.0000, 0.5000, 0.0000)  2 Cu 2.52, 8 Pd 2.61-2.75
Cu (0.5000, 0.5000, 0.0000)  2 Cu 2.52, 8 Pd 2.61-2.75
Pd (0.0000, 0.3505, 0.6495)  5 Pd 2.71-2.86, 4 Cu 2.75
Pd (0.0000, 0.6495, 0.3505)  5 Pd 2.71-2.86, 4 Cu 2.75
Pd (0.3505, 0.6495, 0.6495)  5 Pd 2.71-2.86, 4 Cu 2.75
Pd (0.6495, 0.3505, 0.3505)  5 Pd 2.71-2.86, 4 Cu 2.75
Pd (0.5000, 0.7775, 0.2225)  4 Cu 2.61, 6 Pd 2.78-2.86
Pd (0.5000, 0.2225, 0.7775)  4 Cu 2.61, 6 Pd 2.78-2.86
Pd (0.2775, 0.2225, 0.2225)  4 Cu 2.61, 6 Pd 2.78-2.86
Pd (0.7225, 0.7775, 0.7775)  4 Cu 2.61, 6 Pd 2.78-2.86

# 12
The following is a PBE calculation of an optimized crystal structure of AcCuPd, from Alexandria.

- D(E_F): 1.48 states/eV/cell

abc: 4.1523 4.4587 4.4587
angles: 120.00 90.00 90.00
With the nearest neighbours (Å) after each atom.
Fractional positions:
Ac (0.6667, 0.3333, 0.6667)  6 Cu 3.31, 6 Pd 3.31
Cu (0.1665, 0.6667, 0.3333)  3 Pd 2.57
Pd (0.1668, 0.0000, 0.0000)  3 Cu 2.57

no.,spin magnetization (μB/atom),DFT formation energy (eV per atom)
1,0.000,-0.416
2,0.000,-0.472
3,0.000,-0.664
4,0.000,-0.322
5,0.000,0.225
6,0.000,-0.313
7,0.000,-0.304
8,0.000,-0.330
9,0.000,-0.320
10,0.000,-0.405
11,0.000,-0.327
12,0.000,-0.561